(1)
# Ac5NdY, optimized geometry, DFT GGA-PBE
# size of the total moment = 0.0 μB/cell
# space group = C2/c, No. 15
data_Ac5NdY
_cell_length_a 12.810
_cell_length_b 12.810
_cell_length_c 7.139
_cell_angle_alpha 97.95
_cell_angle_beta 97.95
_cell_angle_gamma 144.69
_space_group_name_H-M_alt 'P 1'
_space_group_IT_number 1
_space_group_name_Hall 'P 1'
loop_
_atom_site_label
_atom_site_fract_x
_atom_site_fract_y
_atom_site_fract_z
Ac1 0.023 0.464 0.751
Ac2 0.125 0.875 0.750
Ac3 0.217 0.274 0.986
Ac4 0.274 0.217 0.486
Ac5 0.464 0.023 0.251
Ac6 0.536 0.977 0.749
Ac7 0.726 0.783 0.514
Ac8 0.783 0.726 0.014
Ac9 0.875 0.125 0.250
Ac10 0.977 0.536 0.249
Nd1 0.401 0.599 0.750
Nd2 0.599 0.401 0.250
Y1 0.349 0.651 0.250
Y2 0.651 0.349 0.750

***

(2)
# AcNdY, optimized geometry, DFT GGA-PBE
# size of the total moment = 0.0 μB/cell
# space group = I4mm, No. 107
data_AcNdY
_cell_length_a 8.268
_cell_length_b 8.268
_cell_length_c 8.268
_cell_angle_alpha 153.54
_cell_angle_beta 153.54
_cell_angle_gamma 37.77
_space_group_name_H-M_alt 'P 1'
_space_group_IT_number 1
_space_group_name_Hall 'P 1'
loop_
_atom_site_label
_atom_site_fract_x
_atom_site_fract_y
_atom_site_fract_z
Ac1 0.000 0.000 0.000
Nd1 0.673 0.673 0.000
Y1 0.330 0.330 0.000

***

(3)
# AcNd12Y5, optimized geometry, DFT GGA-PBE
# size of the total moment = 0.0 μB/cell
# space group = Cmmm, No. 65
data_AcNd12Y5
_cell_length_a 11.009
_cell_length_b 11.009
_cell_length_c 5.189
_cell_angle_alpha 90.00
_cell_angle_beta 90.00
_cell_angle_gamma 90.12
_space_group_name_H-M_alt 'P 1'
_space_group_IT_number 1
_space_group_name_Hall 'P 1'
loop_
_atom_site_label
_atom_site_fract_x
_atom_site_fract_y
_atom_site_fract_z
Ac1 0.000 0.000 0.000
Nd1 0.001 0.663 0.000
Nd2 0.169 0.501 0.500
Nd3 0.171 0.171 0.500
Nd4 0.335 0.335 0.000
Nd5 0.337 0.999 0.000
Nd6 0.499 0.831 0.500
Nd7 0.501 0.169 0.500
Nd8 0.663 0.001 0.000
Nd9 0.665 0.665 0.000
Nd10 0.829 0.829 0.500
Nd11 0.831 0.499 0.500
Nd12 0.999 0.337 0.000
Y1 0.170 0.830 0.500
Y2 0.333 0.667 0.000
Y3 0.500 0.500 0.500
Y4 0.667 0.333 0.000
Y5 0.830 0.170 0.500

***

(4)
# Ac8Nd2Y3, optimized geometry, DFT GGA-PBE
# size of the total moment = 0.0 μB/cell
# space group = P-1, No. 2
data_Ac8Nd2Y3
_cell_length_a 6.677
_cell_length_b 6.696
_cell_length_c 12.128
_cell_angle_alpha 90.06
_cell_angle_beta 100.77
_cell_angle_gamma 99.63
_space_group_name_H-M_alt 'P 1'
_space_group_IT_number 1
_space_group_name_Hall 'P 1'
loop_
_atom_site_label
_atom_site_fract_x
_atom_site_fract_y
_atom_site_fract_z
Ac1 0.042 0.416 0.150
Ac2 0.196 0.118 0.777
Ac3 0.342 0.807 0.383
Ac4 0.420 0.655 0.695
Ac5 0.580 0.345 0.305
Ac6 0.658 0.193 0.617
Ac7 0.804 0.882 0.223
Ac8 0.958 0.584 0.850
Nd1 0.113 0.267 0.462
Nd2 0.887 0.733 0.538
Y1 0.275 0.961 0.073
Y2 0.500 0.500 0.000
Y3 0.725 0.039 0.927

***

(5)
# AcNd5Y6, optimized geometry, DFT GGA-PBE
# size of the total moment = 0.0 μB/cell
# space group = C2/m, No. 12
data_AcNd5Y6
_cell_length_a 8.131
_cell_length_b 8.131
_cell_length_c 6.336
_cell_angle_alpha 97.53
_cell_angle_beta 97.53
_cell_angle_gamma 84.91
_space_group_name_H-M_alt 'P 1'
_space_group_IT_number 1
_space_group_name_Hall 'P 1'
loop_
_atom_site_label
_atom_site_fract_x
_atom_site_fract_y
_atom_site_fract_z
Ac1 0.000 0.000 0.000
Nd1 0.170 0.830 0.500
Nd2 0.336 0.664 0.000
Nd3 0.500 0.500 0.500
Nd4 0.664 0.336 0.000
Nd5 0.830 0.170 0.500
Y1 0.084 0.419 0.250
Y2 0.251 0.251 0.747
Y3 0.419 0.084 0.250
Y4 0.581 0.916 0.750
Y5 0.749 0.749 0.253
Y6 0.916 0.581 0.750

***

(6)
# Ac2Nd5Y2, optimized geometry, DFT GGA-PBE
# size of the total moment = 0.0 μB/cell
# space group = C2/m, No. 12
data_Ac2Nd5Y2
_cell_length_a 9.369
_cell_length_b 9.369
_cell_length_c 10.210
_cell_angle_alpha 103.34
_cell_angle_beta 103.34
_cell_angle_gamma 22.60
_space_group_name_H-M_alt 'P 1'
_space_group_IT_number 1
_space_group_name_Hall 'P 1'
loop_
_atom_site_label
_atom_site_fract_x
_atom_site_fract_y
_atom_site_fract_z
Ac1 0.014 0.014 0.184
Ac2 0.986 0.986 0.816
Nd1 0.163 0.163 0.705
Nd2 0.338 0.338 0.975
Nd3 0.500 0.500 0.500
Nd4 0.662 0.662 0.025
Nd5 0.837 0.837 0.295
Y1 0.328 0.328 0.595
Y2 0.672 0.672 0.405

***

(7)
# Ac15Nd4Y, optimized geometry, DFT GGA-PBE
# size of the total moment = 0.0 μB/cell
# space group = P4/mmm, No. 123
data_Ac15Nd4Y
_cell_length_a 5.539
_cell_length_b 5.539
_cell_length_c 27.594
_cell_angle_alpha 90.00
_cell_angle_beta 90.00
_cell_angle_gamma 90.00
_space_group_name_H-M_alt 'P 1'
_space_group_IT_number 1
_space_group_name_Hall 'P 1'
loop_
_atom_site_label
_atom_site_fract_x
_atom_site_fract_y
_atom_site_fract_z
Ac1 0.000 0.000 0.000
Ac2 0.000 0.000 0.199
Ac3 0.000 0.000 0.400
Ac4 0.000 0.000 0.600
Ac5 0.000 0.000 0.801
Ac6 0.000 0.500 0.099
Ac7 0.000 0.500 0.299
Ac8 0.000 0.500 0.500
Ac9 0.000 0.500 0.701
Ac10 0.000 0.500 0.901
Ac11 0.500 0.000 0.099
Ac12 0.500 0.000 0.299
Ac13 0.500 0.000 0.500
Ac14 0.500 0.000 0.701
Ac15 0.500 0.000 0.901
Nd1 0.500 0.500 0.199
Nd2 0.500 0.500 0.400
Nd3 0.500 0.500 0.600
Nd4 0.500 0.500 0.801
Y1 0.500 0.500 0.000

***

(8)
# AcNd10Y4, optimized geometry, DFT GGA-PBE
# size of the total moment = 0.0 μB/cell
# space group = I4/m, No. 87
data_AcNd10Y4
_cell_length_a 9.741
_cell_length_b 9.741
_cell_length_c 9.741
_cell_angle_alpha 97.34
_cell_angle_beta 97.34
_cell_angle_gamma 138.10
_space_group_name_H-M_alt 'P 1'
_space_group_IT_number 1
_space_group_name_Hall 'P 1'
loop_
_atom_site_label
_atom_site_fract_x
_atom_site_fract_y
_atom_site_fract_z
Ac1 0.000 0.000 0.000
Nd1 0.043 0.623 0.161
Nd2 0.118 0.957 0.581
Nd3 0.250 0.750 0.500
Nd4 0.377 0.538 0.419
Nd5 0.462 0.882 0.839
Nd6 0.538 0.118 0.161
Nd7 0.623 0.462 0.581
Nd8 0.750 0.250 0.500
Nd9 0.882 0.043 0.419
Nd10 0.957 0.377 0.839
Y1 0.321 0.433 0.753
Y2 0.433 0.679 0.112
Y3 0.567 0.321 0.888
Y4 0.679 0.567 0.247

***

(9)
# AcNd8Y2, optimized geometry, DFT GGA-PBE
# size of the total moment = 0.0 μB/cell
# space group = Immm, No. 71
data_AcNd8Y2
_cell_length_a 9.627
_cell_length_b 9.627
_cell_length_c 9.627
_cell_angle_alpha 145.59
_cell_angle_beta 127.15
_cell_angle_gamma 64.60
_space_group_name_H-M_alt 'P 1'
_space_group_IT_number 1
_space_group_name_Hall 'P 1'
loop_
_atom_site_label
_atom_site_fract_x
_atom_site_fract_y
_atom_site_fract_z
Ac1 0.000 0.000 0.000
Nd1 0.155 0.856 0.298
Nd2 0.161 0.661 0.500
Nd3 0.297 0.500 0.797
Nd4 0.442 0.144 0.298
Nd5 0.558 0.856 0.702
Nd6 0.703 0.500 0.203
Nd7 0.839 0.339 0.500
Nd8 0.845 0.144 0.702
Y1 0.299 0.299 0.000
Y2 0.701 0.701 0.000

***

(10)
# Ac3NdY, optimized geometry, DFT GGA-PBE
# size of the total moment = 0.0 μB/cell
# space group = C2/m, No. 12
data_Ac3NdY
_cell_length_a 7.143
_cell_length_b 7.143
_cell_length_c 9.267
_cell_angle_alpha 100.49
_cell_angle_beta 100.49
_cell_angle_gamma 64.86
_space_group_name_H-M_alt 'P 1'
_space_group_IT_number 1
_space_group_name_Hall 'P 1'
loop_
_atom_site_label
_atom_site_fract_x
_atom_site_fract_y
_atom_site_fract_z
Ac1 0.082 0.614 0.852
Ac2 0.335 0.335 0.502
Ac3 0.386 0.918 0.148
Ac4 0.614 0.082 0.852
Ac5 0.665 0.665 0.498
Ac6 0.918 0.386 0.148
Nd1 0.084 0.084 0.714
Nd2 0.916 0.916 0.286
Y1 0.417 0.417 0.168
Y2 0.583 0.583 0.832

***

(11)
# AcNd7Y12, optimized geometry, DFT GGA-PBE
# size of the total moment = 0.0 μB/cell
# space group = R-3, No. 148
data_AcNd7Y12
_cell_length_a 8.900
_cell_length_b 8.900
_cell_length_c 8.900
_cell_angle_alpha 87.08
_cell_angle_beta 87.08
_cell_angle_gamma 87.08
_space_group_name_H-M_alt 'P 1'
_space_group_IT_number 1
_space_group_name_Hall 'P 1'
loop_
_atom_site_label
_atom_site_fract_x
_atom_site_fract_y
_atom_site_fract_z
Ac1 0.000 0.000 0.000
Nd1 0.061 0.393 0.158
Nd2 0.158 0.061 0.393
Nd3 0.393 0.158 0.061
Nd4 0.500 0.500 0.500
Nd5 0.607 0.842 0.939
Nd6 0.842 0.939 0.607
Nd7 0.939 0.607 0.842
Y1 0.136 0.623 0.498
Y2 0.146 0.273 0.723
Y3 0.273 0.723 0.146
Y4 0.277 0.854 0.727
Y5 0.377 0.502 0.864
Y6 0.498 0.136 0.623
Y7 0.502 0.864 0.377
Y8 0.623 0.498 0.136
Y9 0.723 0.146 0.273
Y10 0.727 0.277 0.854
Y11 0.854 0.727 0.277
Y12 0.864 0.377 0.502

***

(12)
# AcNd10Y6, optimized geometry, DFT GGA-PBE
# size of the total moment = 0.0 μB/cell
# space group = P-31m, No. 162
data_AcNd10Y6
_cell_length_a 9.966
_cell_length_b 9.966
_cell_length_c 6.999
_cell_angle_alpha 90.00
_cell_angle_beta 90.00
_cell_angle_gamma 120.00
_space_group_name_H-M_alt 'P 1'
_space_group_IT_number 1
_space_group_name_Hall 'P 1'
loop_
_atom_site_label
_atom_site_fract_x
_atom_site_fract_y
_atom_site_fract_z
Ac1 0.000 0.000 0.000
Nd1 0.000 0.283 0.329
Nd2 0.000 0.717 0.671
Nd3 0.283 0.000 0.329
Nd4 0.283 0.283 0.671
Nd5 0.333 0.667 0.000
Nd6 0.333 0.667 0.500
Nd7 0.667 0.333 0.000
Nd8 0.667 0.333 0.500
Nd9 0.717 0.000 0.671
Nd10 0.717 0.717 0.329
Y1 0.000 0.368 0.817
Y2 0.000 0.632 0.183
Y3 0.368 0.000 0.817
Y4 0.368 0.368 0.183
Y5 0.632 0.000 0.183
Y6 0.632 0.632 0.817

***

ΔE_f (computed, eV/atom): 0.153; 0.043; 0.022; 0.046; 0.019; 0.105; 0.025; 0.477; 0.120; 0.216; 0.227; 0.137